No. 1
VASP calculation (PBE) on a relaxed Te2MoAs crystal. Values from VASP.

Summary:
E_form (uncorrected): 0.04 eV per atom
crystal system: trigonal

```
&SYSTEM
  ibrav = 0, nat = 4, ntyp = 3
/
ATOMIC_SPECIES
Mo 95.94 Mo.upf
Te 127.60 Te.upf
As 74.92 As.upf
ATOMIC_POSITIONS crystal
Mo 0.757 0.757 0.757
Te 0.023 0.023 0.023
Te 0.236 0.236 0.236
As 0.484 0.484 0.484
CELL_PARAMETERS angstrom
9.584 -0.037 -0.022
8.992 3.316 -0.022
8.992 1.587 2.912
```

No. 2
VASP calculation (PBE) on a relaxed BeFeSe2N crystal. Values from VASP.

Summary:
E_form (uncorrected): 0.54 eV per atom
crystal system: tetragonal
energy above the lowest structure with this stoichiometry: 0.0 meV/atom

```
&SYSTEM
  ibrav = 0, nat = 5, ntyp = 4
/
ATOMIC_SPECIES
Be 9.01 Be.upf
Fe 55.84 Fe.upf
Se 78.96 Se.upf
N 14.01 N.upf
ATOMIC_POSITIONS crystal
Be 0.500 0.500 0.500
Fe 0.000 0.000 0.000
Se 0.000 0.500 0.000
Se 0.500 0.000 0.000
N 0.000 0.000 0.500
CELL_PARAMETERS angstrom
-0.635 1.745 4.497
-4.002 -2.723 0.491
1.859 -2.510 1.236
```

No. 3
VASP calculation (PBE) on a relaxed ThAl4C4 crystal. Values from VASP.

Summary:
ΔE_f: -0.202 eV per atom
crystal system: tetragonal

```
&SYSTEM
  ibrav = 0, nat = 9, ntyp = 3
/
ATOMIC_SPECIES
Th 232.04 Th.upf
Al 26.98 Al.upf
C 12.01 C.upf
ATOMIC_POSITIONS crystal
Th 0.000 0.000 0.000
Al 0.642 0.821 0.463
Al 0.358 0.179 0.537
Al 0.821 0.358 0.180
Al 0.179 0.642 0.820
C 0.248 0.411 0.659
C 0.752 0.589 0.341
C 0.411 0.752 0.163
C 0.589 0.248 0.837
CELL_PARAMETERS angstrom
6.065 0.002 0.000
-5.143 3.214 0.000
-0.461 -1.608 5.830
```

no.,raw total energy (eV per atom),volume (Å³/cell),spin magnetization (μB/f.u.)
1,-5.40,94,0.000
2,-4.95,80,0.650
3,-6.79,114,0.000